Below is Rb2MgCBr after structural relaxation, with properties calculated at the PBE level.

Structure (POSCAR):
```
Rb2MgCBr
1.0
6.6767 0.0000 0.0000
0.0000 6.6767 0.0000
0.0000 0.0000 4.0649
Rb Mg C Br
2 1 1 1
Direct
0.0000 0.5000 0.0000 Rb
0.5000 0.0000 0.0000 Rb
0.0000 0.0000 0.0000 Mg
0.0000 0.0000 0.5000 C
0.5000 0.5000 0.5000 Br
```

Calculated volume, Å³ per atom: 36.24
Raw formation energy, kJ/mol of formula units: 104



Below is ZrPb4W after structural relaxation, with properties calculated at the PBE level.

Structure (POSCAR):
```
ZrPb4W
1.0
0.0000 4.3681 4.3681
4.3681 0.0000 4.3681
4.3681 4.3681 0.0000
Zr Pb W
1 4 1
Direct
0.0000 0.0000 0.0000 Zr
0.1257 0.6248 0.6248 Pb
0.6248 0.1257 0.6248 Pb
0.6248 0.6248 0.1257 Pb
0.6248 0.6248 0.6248 Pb
0.2500 0.2500 0.2500 W
```

Calculated volume, Å³ per atom: 27.78
Energy of formation from the pure elements, eV per atom: 1.17



The following ρ values (in Mg/m³) correspond, in order, to the records above: 2.63, 11.00.
The following total magnetic moment values (in μB per formula unit) correspond, in order, to the records above: 1.00, 1.08.